A geometry-optimized TiCd structure. Source: Alexandria via LeMat-Bulk, functional PBE.

The structure in CIF format:
```
data_TiCd
_chemical_formula_sum 'Ti2 Cd2'
_cell_length_a 2.903
_cell_length_b 2.903
_cell_length_c 9.098
_cell_angle_alpha 90.00
_cell_angle_beta 90.00
_cell_angle_gamma 90.00
_space_group_name_H-M_alt 'P 4/n m m'
_space_group_IT_number 129
loop_
_space_group_symop_operation_xyz
'x,y,z'
'-x,-y,-z'
'-y+1/2,x,z'
'y+1/2,-x,-z'
'-x+1/2,-y+1/2,z'
'x+1/2,y+1/2,-z'
'y,-x+1/2,z'
'-y,x+1/2,-z'
'x+1/2,-y,-z'
'-x+1/2,y,z'
'-y,-x,-z'
'y,x,z'
'-x,y+1/2,-z'
'x,-y+1/2,z'
'y+1/2,x+1/2,-z'
'-y+1/2,-x+1/2,z'
loop_
_atom_site_label
_atom_site_fract_x
_atom_site_fract_y
_atom_site_fract_z
Ti1 0.250 0.250 0.107
Cd1 0.250 0.250 0.636
```

A geometry-optimized Ti5Cd structure. Source: Alexandria via LeMat-Bulk, functional PBE.

The structure in CIF format:
```
data_Ti5Cd
_chemical_formula_sum 'Ti5 Cd1'
_cell_length_a 2.880
_cell_length_b 2.880
_cell_length_c 12.918
_cell_angle_alpha 90.00
_cell_angle_beta 90.00
_cell_angle_gamma 90.00
_space_group_name_H-M_alt 'P 4/m m m'
_space_group_IT_number 123
_space_group_name_Hall '-P 4 2'
loop_
_atom_site_label
_atom_site_fract_x
_atom_site_fract_y
_atom_site_fract_z
Ti1 0.000 0.000 0.000
Ti2 0.000 0.000 0.316
Ti3 0.500 0.500 0.161
Cd1 0.500 0.500 0.500
```

A geometry-optimized TiCd structure. Source: Alexandria via LeMat-Bulk, functional PBE.

The structure in CIF format:
```
data_TiCd
_chemical_formula_sum 'Ti4 Cd4'
_cell_length_a 5.484
_cell_length_b 5.484
_cell_length_c 5.677
_cell_angle_alpha 90.00
_cell_angle_beta 90.00
_cell_angle_gamma 90.00
_space_group_name_H-M_alt 'P 42/m n m'
_space_group_IT_number 136
_space_group_name_Hall '-P 4n 2n'
loop_
_atom_site_label
_atom_site_fract_x
_atom_site_fract_y
_atom_site_fract_z
Ti1 0.173 0.173 0.000
Cd1 0.182 0.182 0.500
```

What did we get for theoretical density? Answer: 6.9; 5.5; 6.2 g cm⁻³, in the order shown.
What did we get for energy of formation? Answer: -0.055; 0.001; 0.500 eV/atom, in the order shown.
What did we get for magnetic moment? Answer: 0.0; 0.0; 4.0 Bohr magnetons per cell, in the order shown.